# 1
TlAs2BrO | Alexandria via LeMat-Bulk | PBE | relaxed; size of the total moment = 0.001 μB/atom; V = 25.75 Å³/atom; energy above the lowest structure with this stoichiometry = 0 meV per atom; symmetry = P4/mmm
1.0
-0.6477 -3.9802 -1.4061
-0.0786 -1.4109 4.0301
-6.9777 1.0533 0.2326
Br As O Tl
1 2 1 1
Direct
0.0000 0.0000 0.5000 Br
0.0000 0.5000 0.0000 As
0.5000 0.0000 0.0000 As
0.0000 0.0000 0.0000 O
0.5000 0.5000 0.5000 Tl

# 2
Li2Pm3Ir2 | Alexandria via LeMat-Bulk | PBE | relaxed; size of the total moment = 0.000 μB/atom; V = 28.63 Å³/atom; uncorrected energy = -37.8 eV/f.u.; symmetry = C2/m
1.0
-4.0618 -0.0089 -0.5450
1.7446 -2.7157 2.5453
0.6279 9.7332 9.9537
Pm Ir Li
3 2 2
Direct
0.5151 0.2575 0.7673 Pm
0.4849 0.7425 0.2327 Pm
0.0000 0.0000 0.0000 Pm
0.7493 0.3747 0.1270 Ir
0.2507 0.6253 0.8730 Ir
0.2925 0.1462 0.4352 Li
0.7075 0.8538 0.5648 Li

# 3
Ag2PW | Alexandria via LeMat-Bulk | PBE | relaxed; size of the total moment = 0.000 μB/atom; V = 16.50 Å³/atom; uncorrected energy = -21.8 eV/f.u.; symmetry = R-3m
1.0
-5.0769 7.4703 2.5718
-6.8510 5.4015 3.4759
-4.6990 6.2844 5.1594
W P Ag
1 1 2
Direct
0.7500 0.7500 0.7500 W
0.2500 0.2500 0.2500 P
0.5032 0.5032 0.5032 Ag
0.9968 0.9968 0.9968 Ag

# 4
MnTeI2 | Alexandria via LeMat-Bulk | PBE | relaxed; size of the total moment = 0.000 μB/atom; V = 31.28 Å³/atom; energy above the lowest structure with this stoichiometry = 271 meV per atom; symmetry = I-42d
1.0
10.0667 0.0000 0.0000
0.0000 10.0667 0.0000
5.0334 5.0334 2.4695
I Mn Te
4 2 2
Direct
0.8750 0.7206 0.7500 I
0.2794 0.6250 0.2500 I
0.3750 0.5294 0.7500 I
0.4706 0.1250 0.2500 I
0.2500 0.7500 0.5000 Mn
0.5000 0.5000 0.0000 Mn
0.0000 0.0000 0.0000 Te
0.7500 0.2500 0.5000 Te

# 5
Dy2YBiC | Alexandria via LeMat-Bulk | PBE | relaxed; size of the total moment = 0.000 μB/atom; V = 23.94 Å³/atom; uncorrected energy = -31.5 eV/f.u.; symmetry = P4/mmm
1.0
-0.7830 -2.6590 -4.0763
-2.0128 -3.5810 2.7225
-4.4298 2.0969 -0.5169
Dy C Y Bi
2 1 1 1
Direct
0.0000 0.0000 0.5000 Dy
0.0000 0.5000 0.0000 Dy
0.0000 0.0000 0.0000 C
0.5000 0.0000 0.0000 Y
0.5000 0.5000 0.5000 Bi

# 6
Tb6Nd8Pb | Alexandria via LeMat-Bulk | PBE | relaxed; size of the total moment = 0.000 μB/atom; V = 33.75 Å³/atom; uncorrected energy = -68.7 eV/f.u.; symmetry = P-3
1.0
-3.5878 -5.4580 -1.2451
7.7739 -5.2198 0.4808
-5.0752 1.5739 7.7250
Tb Nd Pb
6 8 1
Direct
0.6624 0.9030 0.5539 Tb
0.6624 0.4461 0.3491 Tb
0.3376 0.0970 0.4461 Tb
0.6624 0.6509 0.0970 Tb
0.3376 0.3491 0.9030 Tb
0.3376 0.5539 0.6509 Tb
0.1767 0.7677 0.0411 Nd
0.8665 0.3333 0.6667 Nd
0.1767 0.9589 0.7267 Nd
0.8233 0.0411 0.2733 Nd
0.1335 0.6667 0.3333 Nd
0.1767 0.2733 0.2323 Nd
0.8233 0.7267 0.7677 Nd
0.8233 0.2323 0.9589 Nd
0.5000 0.0000 0.0000 Pb

# 7
SrGeBi2 | Alexandria via LeMat-Bulk | PBE | relaxed; size of the total moment = 0.000 μB/atom; V = 29.71 Å³/atom; uncorrected energy = -15.3 eV/f.u.; symmetry = P4/mmm
1.0
-1.6057 4.2313 -2.0285
-3.6225 0.2008 3.2862
2.8858 2.5456 3.0256
Bi Ge Sr
2 1 1
Direct
0.0000 0.5000 0.0000 Bi
0.0000 0.0000 0.5000 Bi
0.5000 0.0000 0.0000 Ge
0.5000 0.5000 0.5000 Sr

# 8
Rb2TiMnS4 | Alexandria via LeMat-Bulk | PBE | relaxed; size of the total moment = 0.626 μB/atom; V = 30.19 Å³/atom; uncorrected energy = -45.1 eV/f.u.; symmetry = Fddd
1.0
5.8248 0.0000 0.0000
2.9124 6.8880 0.0000
2.9124 0.0000 12.0388
S Ti Rb Mn
8 2 4 2
Direct
0.5336 0.3101 0.6037 S
0.2164 0.1899 0.8963 S
0.4474 0.6899 0.3963 S
0.1563 0.3101 0.3963 S
0.8873 0.8101 0.8963 S
0.3026 0.8101 0.1037 S
0.8627 0.6899 0.6037 S
0.5937 0.1899 0.1037 S
0.5000 0.0000 0.0000 Ti
0.2500 0.5000 0.5000 Ti
0.9273 0.5000 0.1454 Rb
0.8227 0.0000 0.3546 Rb
0.5727 0.5000 0.8546 Rb
0.1773 0.0000 0.6454 Rb
0.0000 0.0000 0.0000 Mn
0.7500 0.5000 0.5000 Mn

# 9
ZrAlIr2 | Alexandria via LeMat-Bulk | PBE | relaxed; size of the total moment = 0.000 μB/atom; V = 16.40 Å³/atom; uncorrected energy = -31.3 eV/f.u.; symmetry = F-43m
1.0
4.5269 0.0000 0.0000
2.2634 3.9204 0.0000
2.2634 1.3068 3.6962
Al Ir Zr
1 2 1
Direct
0.5000 0.5000 0.5000 Al
0.0000 0.0000 0.0000 Ir
0.2500 0.2500 0.2500 Ir
0.7500 0.7500 0.7500 Zr

# 10
Ba2UNbN5 | Alexandria via LeMat-Bulk | PBE | relaxed; size of the total moment = 0.000 μB/atom; V = 17.44 Å³/atom; uncorrected energy = -76.2 eV/f.u.; symmetry = Cmc2_1
1.0
-1.1562 2.9307 -1.6106
-6.2801 -4.1346 0.8716
-1.9005 5.1494 10.7343
N Ba U Nb
10 4 2 2
Direct
0.3730 0.7459 0.0027 N
0.2969 0.5937 0.4035 N
0.7215 0.4431 0.1164 N
0.0580 0.1159 0.0242 N
0.2785 0.5569 0.6164 N
0.4981 0.9963 0.8109 N
0.6270 0.2541 0.5027 N
0.7031 0.4063 0.9035 N
0.5019 0.0037 0.3109 N
0.9420 0.8841 0.5242 N
0.8929 0.7858 0.2045 Ba
0.8608 0.7215 0.7866 Ba
0.1392 0.2785 0.2866 Ba
0.1071 0.2142 0.7045 Ba
0.7834 0.5669 0.5089 U
0.2166 0.4331 0.0089 U
0.5050 0.0100 0.9663 Nb
0.4950 0.9900 0.4663 Nb